Entry 1:
Below is a relaxed ScCuSb2I crystal, with properties calculated at the PBE-GGA level.

abc: 4.9844 4.9844 5.6432
angles: 90.00 90.00 90.00
Closest atoms and distances in Å follow each position.
Space group P4/mmm (No. 123)
One atom of each set of equivalent atoms:
Sc 0.0000 0.0000 0.0000 (multiplicity 1)  4 I 3.52, 8 Sb 3.76
Cu 0.5000 0.5000 0.5000 (multiplicity 1)  4 Sb 2.49
Sb 0.0000 0.5000 0.5000 (multiplicity 2)  2 Cu 2.49
I 0.5000 0.5000 0.0000 (multiplicity 1)  2 Cu 2.82

Summary:
The energy above the most stable polymorph in this dataset comes out at 0 meV per atom.



Entry 2:
Below is a relaxed HoCuSe2 crystal, with properties calculated at the PBE-GGA level.

abc: 4.0886 4.0886 6.4249
angles: 90.00 90.00 120.00
Closest atoms and distances in Å follow each position.
Space group P3m1 (No. 156)
One atom of each set of equivalent atoms:
Ho 0.0000 0.0000 0.0000 (multiplicity 1)  6 Se 2.81-2.93
Cu 0.3333 0.6667 0.6169 (multiplicity 1)  4 Se 2.45-2.47
Se 0.3333 0.6667 0.2359 (multiplicity 1)  1 Cu 2.45
Se 0.6667 0.3333 0.7285 (multiplicity 1)  3 Cu 2.47

Summary:
The calculation puts the energy at -5.13 eV/atom.